No. 1
# Ce2HfThAs4, optimized geometry, DFT PBE
data_Ce2HfThAs4
_chemical_formula_sum 'Ce2 Hf1 Th1 As4'
_symmetry_space_group_name_H-M 'P 1 2/m 1'
_symmetry_Int_Tables_number 10
_cell_length_a 7.1484
_cell_length_b 4.1272
_cell_length_c 7.1651
_cell_angle_alpha 90.00
_cell_angle_beta 109.29
_cell_angle_gamma 90.00
loop_
_symmetry_equiv_pos_as_xyz
'x,y,z'
'-x,-y,-z'
'-x,y,-z'
'x,-y,z'
loop_
_atom_site_label
_atom_site_type_symbol
_atom_site_fract_x
_atom_site_fract_y
_atom_site_fract_z
Ce1 Ce 0.0000 0.0000 0.0000
Ce2 Ce 0.5000 0.5000 0.0000
Hf1 Hf 0.0000 0.5000 0.5000
Th1 Th 0.5000 0.0000 0.5000
As1 As 0.2301 0.0000 0.7336
As2 As 0.2364 0.5000 0.2565
# ΔE_f: -1294 meV per atom

No. 2
# TaTi4Al3, optimized geometry, DFT PBE
data_TaTi4Al3
_chemical_formula_sum 'Ta1 Ti4 Al3'
_symmetry_space_group_name_H-M 'P 4/m m m'
_symmetry_Int_Tables_number 123
_symmetry_space_group_name_Hall '-P 4 2'
_cell_length_a 4.2799
_cell_length_b 4.2799
_cell_length_c 7.2067
_cell_angle_alpha 90.00
_cell_angle_beta 90.00
_cell_angle_gamma 90.00
loop_
_atom_site_label
_atom_site_type_symbol
_atom_site_fract_x
_atom_site_fract_y
_atom_site_fract_z
Ta1 Ta 0.0000 0.0000 0.0000
Ti1 Ti 0.0000 0.5000 0.2479
Al1 Al 0.0000 0.0000 0.5000
Al2 Al 0.5000 0.5000 0.0000
Al3 Al 0.5000 0.5000 0.5000
# ΔE_f: -310 meV per atom

No. 3
# Tm3SnBi2, optimized geometry, DFT PBE
data_Tm3SnBi2
_chemical_formula_sum 'Tm12 Sn4 Bi8'
_symmetry_space_group_name_H-M 'C 1 2/c 1'
_symmetry_Int_Tables_number 15
_cell_length_a 7.7136
_cell_length_b 13.2891
_cell_length_c 7.5091
_cell_angle_alpha 90.00
_cell_angle_beta 109.73
_cell_angle_gamma 90.00
loop_
_symmetry_equiv_pos_as_xyz
'x,y,z'
'-x,-y,-z'
'-x,y,-z+1/2'
'x,-y,z+1/2'
'x+1/2,y+1/2,z'
'-x+1/2,-y+1/2,-z'
'-x+1/2,y+1/2,-z+1/2'
'x+1/2,-y+1/2,z+1/2'
loop_
_atom_site_label
_atom_site_type_symbol
_atom_site_fract_x
_atom_site_fract_y
_atom_site_fract_z
Tm1 Tm 0.2428 0.0816 0.4959
Tm2 Tm 0.2500 0.2500 0.0000
Sn1 Sn 0.0000 0.0858 0.7500
Bi1 Bi 0.0000 0.2533 0.2500
Bi2 Bi 0.0000 0.4173 0.7500
# ΔE_f: -668 meV per atom

No. 4
# SmTlCdAu, optimized geometry, DFT PBE
data_SmTlCdAu
_chemical_formula_sum 'Sm4 Tl4 Cd4 Au4'
_symmetry_space_group_name_H-M 'F -4 3 m'
_symmetry_Int_Tables_number 216
_symmetry_space_group_name_Hall 'F -4 2 3'
_cell_length_a 7.2586
_cell_length_b 7.2586
_cell_length_c 7.2586
_cell_angle_alpha 90.00
_cell_angle_beta 90.00
_cell_angle_gamma 90.00
loop_
_atom_site_label
_atom_site_type_symbol
_atom_site_fract_x
_atom_site_fract_y
_atom_site_fract_z
Sm1 Sm 0.0000 0.0000 0.0000
Tl1 Tl 0.2500 0.2500 0.7500
Cd1 Cd 0.0000 0.0000 0.5000
Au1 Au 0.2500 0.2500 0.2500
# ΔE_f: -417 meV per atom

No. 5
# LiTl2As, optimized geometry, DFT PBE
data_LiTl2As
_chemical_formula_sum 'Li3 Tl6 As3'
_symmetry_space_group_name_H-M 'R -3 m'
_symmetry_Int_Tables_number 166
_symmetry_space_group_name_Hall '-R 3 2"'
_cell_length_a 3.8397
_cell_length_b 3.8397
_cell_length_c 24.1871
_cell_angle_alpha 90.00
_cell_angle_beta 90.00
_cell_angle_gamma 120.00
loop_
_atom_site_label
_atom_site_type_symbol
_atom_site_fract_x
_atom_site_fract_y
_atom_site_fract_z
Li1 Li 0.0000 0.0000 0.0000
Tl1 Tl 0.0000 0.0000 0.2454
As1 As 0.0000 0.0000 0.5000
# ΔE_f: -8 meV per atom

No. 6
# LaYMgAg, optimized geometry, DFT PBE
data_LaYMgAg
_chemical_formula_sum 'La4 Y4 Mg4 Ag4'
_symmetry_space_group_name_H-M 'F -4 3 m'
_symmetry_Int_Tables_number 216
_symmetry_space_group_name_Hall 'F -4 2 3'
_cell_length_a 7.6290
_cell_length_b 7.6290
_cell_length_c 7.6290
_cell_angle_alpha 90.00
_cell_angle_beta 90.00
_cell_angle_gamma 90.00
loop_
_atom_site_label
_atom_site_type_symbol
_atom_site_fract_x
_atom_site_fract_y
_atom_site_fract_z
La1 La 0.0000 0.0000 0.0000
Y1 Y 0.0000 0.0000 0.5000
Mg1 Mg 0.2500 0.2500 0.7500
Ag1 Ag 0.2500 0.2500 0.2500
# ΔE_f: -145 meV per atom

No. 7
Material: Th5Bi2H
Method: DFT, PBE
State: optimized geometry

```
data_Th5Bi2H
_chemical_formula_sum 'Th10 Bi4 H2'
_symmetry_space_group_name_H-M 'I 4 m m'
_symmetry_Int_Tables_number 107
_symmetry_space_group_name_Hall 'I 4 -2'
_cell_length_a 7.3097
_cell_length_b 7.3097
_cell_length_c 8.8379
_cell_angle_alpha 90.00
_cell_angle_beta 90.00
_cell_angle_gamma 90.00
loop_
_atom_site_label
_atom_site_type_symbol
_atom_site_fract_x
_atom_site_fract_y
_atom_site_fract_z
Th1 Th 0.0000 0.0000 0.0000
Th2 Th 0.2487 0.2487 0.7435
Bi1 Bi 0.0000 0.5000 0.4947
H1 H 0.0000 0.0000 0.7242
```

No. 8
# Nd2SmNi, optimized geometry, DFT PBE
data_Nd2SmNi
_chemical_formula_sum 'Nd8 Sm4 Ni4'
_symmetry_space_group_name_H-M 'P n m a'
_symmetry_Int_Tables_number 62
_cell_length_a 7.0382
_cell_length_b 10.0002
_cell_length_c 6.4693
_cell_angle_alpha 90.00
_cell_angle_beta 90.00
_cell_angle_gamma 90.00
loop_
_symmetry_equiv_pos_as_xyz
'x,y,z'
'-x,-y,-z'
'-x+1/2,-y,z+1/2'
'x+1/2,y,-z+1/2'
'x+1/2,-y+1/2,-z+1/2'
'-x+1/2,y+1/2,z+1/2'
'-x,y+1/2,-z'
'x,-y+1/2,z'
loop_
_atom_site_label
_atom_site_type_symbol
_atom_site_fract_x
_atom_site_fract_y
_atom_site_fract_z
Nd1 Nd 0.1771 0.0667 0.1746
Sm1 Sm 0.0346 0.2500 0.6474
Ni1 Ni 0.1141 0.7500 0.9376
# ΔE_f: -177 meV per atom

| no. | final energy (eV per atom) | M_tot (μB per atom) |
| --- | --- | --- |
| 1 | -7.274 | 0.15 |
| 2 | -7.142 | 0.00 |
| 3 | -4.864 | 0.00 |
| 4 | -3.237 | 0.00 |
| 5 | -2.832 | 0.00 |
| 6 | -4.104 | 0.00 |
| 7 | -6.224 | 0.00 |
| 8 | -5.186 | 0.00 |